CaTa2W, relaxed, DFT PBEsol; energy of formation = 666 meV per atom; size of the total moment = 0.00 μB/f.u.; final energy = -9.594 eV/atom; symmetry = Immm
1.0
-1.550 2.589 4.935
1.550 -2.589 4.935
1.550 2.589 -4.935
Ca Ta W
1 2 1
direct
0.000 0.000 0.000
0.283 0.783 0.500
0.717 0.217 0.500
0.500 0.500 0.000